(a)
Computed, not measured: a geometry-optimized BeTc3 structure at the PBEsol level of DFT.

```
data_BeTc3
_symmetry_space_group_name_H-M 'P 1'
_symmetry_Int_Tables_number 1
_cell_length_a 4.131
_cell_length_b 4.131
_cell_length_c 3.005
_cell_angle_alpha 90.00
_cell_angle_beta 90.00
_cell_angle_gamma 90.00
loop_
_symmetry_equiv_pos_as_xyz
'x,y,z'
loop_
_atom_site_label
_atom_site_fract_x
_atom_site_fract_y
_atom_site_fract_z
Be1 0.000 0.000 0.000
Tc1 0.000 0.500 0.500
Tc2 0.500 0.000 0.500
Tc3 0.500 0.500 0.000
```

***

(b)
Computed, not measured: a geometry-optimized BeTc3 structure at the PBEsol level of DFT.

```
data_BeTc3
_symmetry_space_group_name_H-M 'P 1'
_symmetry_Int_Tables_number 1
_cell_length_a 4.854
_cell_length_b 4.854
_cell_length_c 4.854
_cell_angle_alpha 116.82
_cell_angle_beta 116.82
_cell_angle_gamma 116.82
loop_
_symmetry_equiv_pos_as_xyz
'x,y,z'
loop_
_atom_site_label
_atom_site_fract_x
_atom_site_fract_y
_atom_site_fract_z
Be1 0.000 0.000 0.000
Tc1 0.000 0.500 0.500
Tc2 0.500 0.000 0.500
Tc3 0.500 0.500 0.000
```

***

Tell me which of them is the least stable. Sure, it is (b).

***

(a)
Computed, not measured: a geometry-optimized Be2TlTc structure at the PBEsol level of DFT.

```
data_Be2TlTc
_symmetry_space_group_name_H-M 'P 1'
_symmetry_Int_Tables_number 1
_cell_length_a 4.380
_cell_length_b 4.380
_cell_length_c 4.538
_cell_angle_alpha 101.35
_cell_angle_beta 101.35
_cell_angle_gamma 42.90
loop_
_symmetry_equiv_pos_as_xyz
'x,y,z'
loop_
_atom_site_label
_atom_site_fract_x
_atom_site_fract_y
_atom_site_fract_z
Be1 0.213 0.213 0.113
Be2 0.787 0.787 0.887
Tl1 0.000 0.000 0.500
Tc1 0.500 0.500 0.000
```

***

(b)
Computed, not measured: a geometry-optimized Be2TlTc structure at the PBEsol level of DFT.

```
data_Be2TlTc
_symmetry_space_group_name_H-M 'P 1'
_symmetry_Int_Tables_number 1
_cell_length_a 5.318
_cell_length_b 5.318
_cell_length_c 5.318
_cell_angle_alpha 104.87
_cell_angle_beta 104.87
_cell_angle_gamma 119.14
loop_
_symmetry_equiv_pos_as_xyz
'x,y,z'
loop_
_atom_site_label
_atom_site_fract_x
_atom_site_fract_y
_atom_site_fract_z
Be1 0.102 0.125 0.477
Be2 0.375 0.898 0.023
Be3 0.648 0.625 0.523
Be4 0.875 0.352 0.977
Tl1 0.250 0.750 0.500
Tl2 0.500 0.500 0.000
Tc1 0.000 0.000 0.000
Tc2 0.750 0.250 0.500
```

***

Tell me which of them is the least stable. Sure, it is (b).

***

(a)
Computed, not measured: a geometry-optimized BeTl2Tc structure at the PBEsol level of DFT.

```
data_BeTl2Tc
_symmetry_space_group_name_H-M 'P 1'
_symmetry_Int_Tables_number 1
_cell_length_a 5.262
_cell_length_b 5.262
_cell_length_c 5.262
_cell_angle_alpha 136.25
_cell_angle_beta 136.25
_cell_angle_gamma 63.59
loop_
_symmetry_equiv_pos_as_xyz
'x,y,z'
loop_
_atom_site_label
_atom_site_fract_x
_atom_site_fract_y
_atom_site_fract_z
Be1 0.000 0.000 0.000
Tl1 0.250 0.750 0.500
Tl2 0.500 0.500 0.000
Tc1 0.750 0.250 0.500
```

***

(b)
Computed, not measured: a geometry-optimized BeTl2Tc structure at the PBEsol level of DFT.

```
data_BeTl2Tc
_symmetry_space_group_name_H-M 'P 1'
_symmetry_Int_Tables_number 1
_cell_length_a 5.130
_cell_length_b 5.130
_cell_length_c 5.130
_cell_angle_alpha 137.41
_cell_angle_beta 130.39
_cell_angle_gamma 67.41
loop_
_symmetry_equiv_pos_as_xyz
'x,y,z'
loop_
_atom_site_label
_atom_site_fract_x
_atom_site_fract_y
_atom_site_fract_z
Be1 0.000 0.000 0.000
Tl1 0.231 0.731 0.500
Tl2 0.769 0.269 0.500
Tc1 0.500 0.500 0.000
```

***

Tell me which of them is the least stable. Sure, it is (b).

***

(a)
Computed, not measured: a geometry-optimized BeTe structure at the PBEsol level of DFT.

```
data_BeTe
_symmetry_space_group_name_H-M 'P 1'
_symmetry_Int_Tables_number 1
_cell_length_a 3.871
_cell_length_b 3.871
_cell_length_c 6.267
_cell_angle_alpha 90.00
_cell_angle_beta 90.00
_cell_angle_gamma 90.00
loop_
_symmetry_equiv_pos_as_xyz
'x,y,z'
loop_
_atom_site_label
_atom_site_fract_x
_atom_site_fract_y
_atom_site_fract_z
Be1 0.250 0.750 0.000
Be2 0.750 0.250 0.000
Te1 0.250 0.250 0.245
Te2 0.750 0.750 0.755
```

***

(b)
Computed, not measured: a geometry-optimized BeTe structure at the PBEsol level of DFT.

```
data_BeTe
_symmetry_space_group_name_H-M 'P 1'
_symmetry_Int_Tables_number 1
_cell_length_a 5.644
_cell_length_b 5.644
_cell_length_c 6.502
_cell_angle_alpha 90.00
_cell_angle_beta 90.00
_cell_angle_gamma 120.00
loop_
_symmetry_equiv_pos_as_xyz
'x,y,z'
loop_
_atom_site_label
_atom_site_fract_x
_atom_site_fract_y
_atom_site_fract_z
Be1 0.333 0.667 0.102
Be2 0.333 0.667 0.398
Be3 0.667 0.333 0.602
Be4 0.667 0.333 0.898
Te1 0.000 0.000 0.250
Te2 0.000 0.000 0.750
Te3 0.333 0.667 0.750
Te4 0.667 0.333 0.250
```

***

(c)
Computed, not measured: a geometry-optimized BeTe structure at the PBEsol level of DFT.

```
data_BeTe
_symmetry_space_group_name_H-M 'P 1'
_symmetry_Int_Tables_number 1
_cell_length_a 3.953
_cell_length_b 3.953
_cell_length_c 6.525
_cell_angle_alpha 90.00
_cell_angle_beta 90.00
_cell_angle_gamma 120.00
loop_
_symmetry_equiv_pos_as_xyz
'x,y,z'
loop_
_atom_site_label
_atom_site_fract_x
_atom_site_fract_y
_atom_site_fract_z
Be1 0.333 0.667 0.000
Be2 0.667 0.333 0.500
Te1 0.333 0.667 0.626
Te2 0.667 0.333 0.126
```

***

(d)
Computed, not measured: a geometry-optimized BeTe structure at the PBEsol level of DFT.

```
data_BeTe
_symmetry_space_group_name_H-M 'P 1'
_symmetry_Int_Tables_number 1
_cell_length_a 3.918
_cell_length_b 3.918
_cell_length_c 6.953
_cell_angle_alpha 90.00
_cell_angle_beta 90.00
_cell_angle_gamma 120.00
loop_
_symmetry_equiv_pos_as_xyz
'x,y,z'
loop_
_atom_site_label
_atom_site_fract_x
_atom_site_fract_y
_atom_site_fract_z
Be1 0.333 0.667 0.112
Be2 0.667 0.333 0.888
Te1 0.333 0.667 0.753
Te2 0.667 0.333 0.247
```

***

Tell me which of them is the least stable. Sure, it is (b).

***

(a)
Computed, not measured: a geometry-optimized BeTe structure at the PBEsol level of DFT.

```
data_BeTe
_symmetry_space_group_name_H-M 'P 1'
_symmetry_Int_Tables_number 1
_cell_length_a 3.968
_cell_length_b 3.968
_cell_length_c 3.968
_cell_angle_alpha 60.00
_cell_angle_beta 60.00
_cell_angle_gamma 60.00
loop_
_symmetry_equiv_pos_as_xyz
'x,y,z'
loop_
_atom_site_label
_atom_site_fract_x
_atom_site_fract_y
_atom_site_fract_z
Be1 0.000 0.000 0.000
Te1 0.250 0.250 0.250
```

***

(b)
Computed, not measured: a geometry-optimized BeTe structure at the PBEsol level of DFT.

```
data_BeTe
_symmetry_space_group_name_H-M 'P 1'
_symmetry_Int_Tables_number 1
_cell_length_a 7.357
_cell_length_b 7.357
_cell_length_c 7.357
_cell_angle_alpha 30.91
_cell_angle_beta 30.91
_cell_angle_gamma 30.91
loop_
_symmetry_equiv_pos_as_xyz
'x,y,z'
loop_
_atom_site_label
_atom_site_fract_x
_atom_site_fract_y
_atom_site_fract_z
Be1 0.129 0.129 0.129
Be2 0.871 0.871 0.871
Te1 0.248 0.248 0.248
Te2 0.752 0.752 0.752
```

***

Tell me which of them is the least stable. Sure, it is (b).

***

(a)
Computed, not measured: a geometry-optimized Be4Te structure at the PBEsol level of DFT.

```
data_Be4Te
_symmetry_space_group_name_H-M 'P 1'
_symmetry_Int_Tables_number 1
_cell_length_a 4.790
_cell_length_b 4.790
_cell_length_c 4.790
_cell_angle_alpha 109.47
_cell_angle_beta 109.47
_cell_angle_gamma 109.47
loop_
_symmetry_equiv_pos_as_xyz
'x,y,z'
loop_
_atom_site_label
_atom_site_fract_x
_atom_site_fract_y
_atom_site_fract_z
Be1 0.000 0.000 0.500
Be2 0.000 0.500 0.000
Be3 0.500 0.000 0.000
Be4 0.500 0.500 0.500
Te1 0.000 0.000 0.000
```

***

(b)
Computed, not measured: a geometry-optimized Be4Te structure at the PBEsol level of DFT.

```
data_Be4Te
_symmetry_space_group_name_H-M 'P 1'
_symmetry_Int_Tables_number 1
_cell_length_a 4.553
_cell_length_b 4.553
_cell_length_c 4.553
_cell_angle_alpha 98.83
_cell_angle_beta 98.83
_cell_angle_gamma 133.86
loop_
_symmetry_equiv_pos_as_xyz
'x,y,z'
loop_
_atom_site_label
_atom_site_fract_x
_atom_site_fract_y
_atom_site_fract_z
Be1 0.070 0.662 0.732
Be2 0.338 0.070 0.408
Be3 0.662 0.930 0.592
Be4 0.930 0.338 0.268
Te1 0.500 0.500 0.000
```

***

Tell me which of them is the least stable. Sure, it is (a).